Entry from Alexandria via LeMat-Bulk: crystalline MgCr2O4 at its relaxed geometry (PBE with a Hubbard U).

```
data_MgCr2O4
_chemical_formula_sum 'Mg6 Cr12 O24'
_space_group_name_H-M_alt 'R 3 m'
_space_group_IT_number 160
_space_group_name_Hall 'R 3 -2"'
_cell_length_a 5.9846
_cell_length_b 5.9846
_cell_length_c 14.8405
_cell_angle_alpha 90.00
_cell_angle_beta 90.00
_cell_angle_gamma 120.00
loop_
_atom_site_label
_atom_site_type_symbol
_atom_site_fract_x
_atom_site_fract_y
_atom_site_fract_z
_atom_site_occupancy
Mg1 Mg 0.0000 0.0000 0.0000 1
Mg2 Mg 0.0000 0.0000 0.3758 1
Cr1 Cr 0.0000 0.0000 0.7581 1
Cr2 Cr 0.0041 0.5021 0.8791 1
O1 O 0.0000 0.0000 0.1381 1
O2 O 0.0000 0.0000 0.6177 1
O3 O 0.0177 0.5088 0.1338 1
O4 O 0.1794 0.3587 0.9547 1
```

Output
* E_tot: -7.3341 eV per atom